No. 1
Pm3NdAl (GGA-PBE, relaxed); E_tot = -46.7 eV/cell; formation energy = -0.119 eV/atom
1.0
-2.3846 2.8482 0.6524
-5.2963 -2.9989 -6.2703
-1.9693 -5.9178 7.7346
Pm Al Nd
6 2 2
Cartesian
-5.4928 -1.7869 -4.2000
-5.8287 -5.7794 1.1308
-7.3239 -3.8912 -1.6848
-4.9528 -2.4837 0.8230
-3.3188 -0.5578 -1.5804
-3.4570 -4.3714 3.6384
-6.6080 -4.5859 3.9645
-4.1729 -3.6766 -2.0106
-4.0794 -3.1627 7.0159
-1.4056 -2.1012 1.2079



No. 2
K2Ge3SbPt4 (GGA-PBE, relaxed); formation energy (no corrections) = -0.4435 eV/atom; E_tot = -48.8 eV/cell
1.0
4.5739 0.0000 0.0000
0.0000 4.5739 0.0000
0.0000 0.0000 10.2152
Ge K Pt Sb
3 2 4 1
Cartesian
2.2870 0.0000 9.0338
0.0000 0.0000 5.1076
0.0000 2.2870 1.1814
0.0000 2.2870 7.7152
2.2870 0.0000 2.5000
2.2870 2.2870 0.0000
0.0000 0.0000 0.0000
0.0000 2.2870 3.7455
2.2870 0.0000 6.4696
2.2870 2.2870 5.1076



No. 3
HW4Se2 (GGA-PBE, relaxed); E_tot = -56.4 eV/cell
1.0
-0.3944 -2.7267 -3.0626
2.0368 -2.8006 2.2312
-4.4512 -4.6905 1.9787
Se W H
2 4 1
Cartesian
-0.5661 -3.2707 0.2143
-2.2427 -6.9472 0.9329
-0.1972 -1.3634 -1.5313
1.0184 -1.4003 1.1156
-0.1592 -6.1858 -0.0132
-2.6496 -4.0321 1.1605
0.0000 0.0000 0.0000



No. 4
PmSmBi (GGA-PBE, relaxed); E_tot = -14.6 eV/cell; formation energy = -0.408 eV/atom
1.0
-2.0343 4.8246 -0.7535
-3.0114 2.2148 3.7429
1.8340 4.1079 2.7830
Pm Sm Bi
1 1 1
Cartesian
-1.6059 5.5737 2.8862
0.0000 0.0000 0.0000
-0.8029 2.7868 1.4431



No. 5
CaPb2Br (GGA-PBE, relaxed); formation energy (no corrections) = -0.7329 eV/atom; E_tot = -14.0 eV/cell
1.0
-2.8794 -5.2825 8.0566
-0.3704 -7.9531 6.1413
1.2103 -5.0416 8.6152
Pb Ca Br
2 1 1
Cartesian
-0.5485 -4.9148 6.1345
-0.0110 -0.0985 0.1229
-1.5326 -13.7341 17.1426
-0.9673 -8.6684 10.8197



No. 6
Tl2SiAu (GGA-PBE, relaxed); formation energy (no corrections) = 0.3903 eV/atom; E_tot = -11.9 eV/cell
1.0
0.0000 3.6043 3.6043
3.6043 0.0000 3.6043
3.6043 3.6043 0.0000
Tl Si Au
2 1 1
Cartesian
5.4065 5.4065 5.4065
1.8022 1.8022 1.8022
0.0000 0.0000 0.0000
3.6043 3.6043 3.6043